A relaxed PmPr5In2 crystal, computed with PBE.

Calculated values
crystal system	orthorhombic
ΔE_f	-277	meV/atom

```
data_PmPr5In2
_chemical_formula_sum 'Pm2 Pr10 In4'
_cell_length_a 7.0904
_cell_length_b 14.1804
_cell_length_c 5.0114
_cell_angle_alpha 90.00
_cell_angle_beta 90.00
_cell_angle_gamma 90.00
_space_group_name_H-M_alt 'P b a m'
_space_group_IT_number 55
loop_
_space_group_symop_operation_xyz
'x,y,z'
'-x,-y,-z'
'-x,-y,z'
'x,y,-z'
'x+1/2,-y+1/2,-z'
'-x+1/2,y+1/2,z'
'-x+1/2,y+1/2,-z'
'x+1/2,-y+1/2,z'
loop_
_atom_site_label
_atom_site_type_symbol
_atom_site_fract_x
_atom_site_fract_y
_atom_site_fract_z
_atom_site_occupancy
Pm1 Pm 0.0000 0.0000 0.0000 1
Pr1 Pr 0.0000 0.5000 0.0000 1
Pr2 Pr 0.0019 0.2492 0.0000 1
Pr3 Pr 0.2502 0.1246 0.5000 1
In1 In 0.2478 0.8759 0.5000 1
```